Entry 1:
Density functional theory data (PBE) for crystalline Dy2ZrOs at its relaxed geometry.

Properties
calculated total energy: -6.876 eV per atom
space-group type: R-3m (166)
energy of formation: 0.369 eV per atom
calculated density: 10.3 g cm⁻³

Cell: 3.244 3.244 10.838 Å, 81.39 81.39 60.00°
Fractional positions:
Zr  0.000  0.000  0.000
Dy  0.900  0.900  0.300
Dy  0.100  0.100  0.700
Os  0.500  0.500  0.500

=====

Entry 2:
Density functional theory data (PBE) for crystalline DyZrOs2 at its relaxed geometry.

Properties
calculated total energy: -9.214 eV per atom
space-group type: P4/mmm (123)
energy of formation: -0.311 eV per atom
calculated density: 14.1 g cm⁻³

Cell: 3.328 3.328 6.769 Å, 90.00 90.00 90.00°
Fractional positions:
Dy  0.500  0.500  0.500
Os  0.000  0.000  0.767
Os  0.000  0.000  0.233
Zr  0.500  0.500  0.000

=====

Entry 3:
Density functional theory data (PBE) for crystalline DyZrOs4 at its relaxed geometry.

Properties
calculated total energy: -9.964 eV per atom
space-group type: F-43m (216)
energy of formation: -0.286 eV per atom
calculated density: 16.0 g cm⁻³

Cell: 5.301 5.301 5.301 Å, 60.00 60.00 60.00°
Fractional positions:
Os  0.125  0.625  0.625
Os  0.625  0.625  0.125
Os  0.625  0.125  0.625
Os  0.625  0.625  0.625
Dy  0.250  0.250  0.250
Zr  0.000  0.000  0.000

=====

Entry 4:
Density functional theory data (PBE) for crystalline DyZr2Os at its relaxed geometry.

Properties
calculated total energy: -8.246 eV per atom
space-group type: Fm-3m (225)
energy of formation: -0.014 eV per atom
calculated density: 10.9 g cm⁻³

Cell: 4.872 4.872 4.874 Å, 60.01 60.01 60.00°
Fractional positions:
Dy  0.500  0.500  0.500
Os  0.000  0.000  0.000
Zr  0.250  0.250  0.250
Zr  0.750  0.750  0.750